1.
# Ti7TlSb3

A geometry-optimized Ti7TlSb3 structure (PBE-GGA, Alexandria via LeMat-Bulk).

abc: 7.109 7.109 7.109
angles: 137.30 107.09 88.34
Element x y z (fractional)
1 Ti 0.000 0.000 0.000
2 Ti 0.092 0.760 0.332
3 Ti 0.330 0.500 0.830
4 Ti 0.429 0.760 0.668
5 Ti 0.571 0.240 0.332
6 Ti 0.670 0.500 0.170
7 Ti 0.908 0.240 0.668
8 Tl 0.000 0.500 0.500
9 Sb 0.267 0.267 0.000
10 Sb 0.500 0.000 0.500
11 Sb 0.733 0.733 0.000

Computed properties:
symmetry: No. 71
magnetic moment: 0.098 μB per atom
uncorrected energy: -6.39 eV per atom
raw formation energy: -0.031 eV per atom

=====

2.
# Ti2TlSb

A geometry-optimized Ti2TlSb structure (PBE-GGA, Alexandria via LeMat-Bulk).

abc: 4.844 4.844 4.844
angles: 60.00 60.00 60.00
Element x y z (fractional)
1 Ti 0.250 0.250 0.250
2 Ti 0.750 0.750 0.750
3 Tl 0.000 0.000 0.000
4 Sb 0.500 0.500 0.500

Computed properties:
symmetry: No. 225
magnetic moment: 0.000 μB per atom
offset from the most stable computed form: 0.0 kJ/mol of atoms
uncorrected energy: -5.52 eV per atom
raw formation energy: 0.049 eV per atom